# TlWO3, relaxed, DFT PBE+U
# * uncorrected energy: -4.425 eV/atom
# * Fermi-level density of states: 3.0 states/eV/f.u.
data_TlWO3
_chemical_formula_sum 'Tl1 W1 O3'
_cell_length_a 4.204
_cell_length_b 4.204
_cell_length_c 4.204
_cell_angle_alpha 90.00
_cell_angle_beta 90.00
_cell_angle_gamma 90.00
_space_group_name_H-M_alt 'P 1'
_space_group_IT_number 1
loop_
_space_group_symop_operation_xyz
'x,y,z'
loop_
_atom_site_label
_atom_site_fract_x
_atom_site_fract_y
_atom_site_fract_z
O1 0.500 0.000 0.000
O2 0.000 0.000 0.500
O3 0.000 0.500 0.000
W1 0.500 0.500 0.500
Tl1 0.000 0.000 0.000